No. 1
Density functional theory data (PBE) for MgSnAuBr after structural relaxation.

a b c (Å): 3.498 3.698 8.263
angles (deg): 103.16 90.74 90.04
Sites, in units of the cell vectors:
Br: 0.171 0.473 0.622
Au: 0.157 0.758 0.191
Mg: 0.664 0.361 0.389
Sn: 0.651 0.164 0.005

Computed properties:
* crystal system: triclinic
* ΔE to the lowest computed polymorph: 7 meV per atom
* SG: P1
* E_form (uncorrected): -0.5191 eV/atom
* N(E_F): 0.9 states/eV/cell



No. 2
Density functional theory data (PBE) for MgSnAuBr after structural relaxation.

a b c (Å): 5.635 3.462 5.001
angles (deg): 90.00 90.00 90.00
Sites, in units of the cell vectors:
Mg: 0.500 0.000 0.500
Br: 0.000 0.000 0.500
Sn: 0.000 0.500 0.000
Au: 0.500 0.500 0.000

Computed properties:
* crystal system: orthorhombic
* ΔE to the lowest computed polymorph: 218 meV per atom
* SG: Pmmm
* E_form (uncorrected): -0.3083 eV/atom
* N(E_F): 1.6 states/eV/cell



No. 3
Density functional theory data (PBE) for MgSnAuBr after structural relaxation.

a b c (Å): 3.820 3.821 8.380
angles (deg): 89.82 89.91 59.97
Sites, in units of the cell vectors:
Au: 0.997 0.223 0.802
Mg: 0.330 0.558 0.588
Br: 0.663 0.893 0.398
Sn: 0.330 0.555 0.006

Computed properties:
* crystal system: triclinic
* ΔE to the lowest computed polymorph: 0 meV per atom
* SG: P1
* E_form (uncorrected): -0.5263 eV/atom
* N(E_F): 1.9 states/eV/cell



No. 4
Density functional theory data (PBE) for MgSnAuBr after structural relaxation.

a b c (Å): 8.628 3.863 6.671
angles (deg): 90.00 105.08 90.00
Sites, in units of the cell vectors:
Au: 0.922 0.500 0.757
Au: 0.922 0.000 0.257
Sn: 0.733 0.000 0.859
Sn: 0.733 0.500 0.359
Br: 0.283 0.000 0.374
Br: 0.283 0.500 0.874
Mg: 0.472 0.000 0.104
Mg: 0.472 0.500 0.604

Computed properties:
* crystal system: monoclinic
* ΔE to the lowest computed polymorph: 142 meV per atom
* SG: Cm
* E_form (uncorrected): -0.3843 eV/atom
* N(E_F): 1.8 states/eV/cell



No. 5
Density functional theory data (PBE) for MgSnAuBr after structural relaxation.

a b c (Å): 3.933 3.933 24.523
angles (deg): 90.00 90.00 120.00
Sites, in units of the cell vectors:
Au: 0.333 0.667 0.125
Au: 0.000 0.000 0.458
Au: 0.667 0.333 0.792
Sn: 0.667 0.333 0.395
Sn: 0.333 0.667 0.729
Sn: 0.000 0.000 0.062
Mg: 0.333 0.667 0.528
Mg: 0.000 0.000 0.861
Mg: 0.667 0.333 0.194
Br: 0.000 0.000 0.595
Br: 0.333 0.667 0.261
Br: 0.667 0.333 0.928

Computed properties:
* crystal system: trigonal
* ΔE to the lowest computed polymorph: 38 meV per atom
* SG: R3m
* E_form (uncorrected): -0.4883 eV/atom
* N(E_F): 4.2 states/eV/cell



No. 6
Density functional theory data (PBE) for MgTiAuBr2 after structural relaxation.

a b c (Å): 5.402 5.274 5.402
angles (deg): 90.00 90.00 90.00
Each line ends with the local moment (μB).
Sites, in units of the cell vectors:
Au: 0.000 0.000 0.000  0.01
Br: 0.500 0.000 0.000  -0.01
Br: 0.000 0.000 0.500  0.00
Ti: 0.000 0.500 0.000  1.79
Mg: 0.500 0.500 0.500  -0.06

Computed properties:
* crystal system: tetragonal
* SG: P4/mmm
* E_form (uncorrected): 0.4568 eV/atom
* N(E_F): 6.3 states/eV/cell



No. 7
Density functional theory data (PBE) for YMgAu2Br after structural relaxation.

a b c (Å): 5.293 4.803 5.293
angles (deg): 90.00 90.00 90.00
Sites, in units of the cell vectors:
Mg: 0.000 0.500 0.000
Au: 0.500 0.000 0.000
Au: 0.000 0.000 0.500
Y: 0.500 0.500 0.500
Br: 0.000 0.000 0.000

Computed properties:
* crystal system: tetragonal
* SG: P4/mmm
* E_form (uncorrected): 0.3777 eV/atom
* N(E_F): 4.0 states/eV/cell



No. 8
Density functional theory data (PBE) for MnAu2Br6 after structural relaxation.

a b c (Å): 6.194 10.266 10.266
angles (deg): 94.63 88.90 88.90
Each line ends with the local moment (μB).
Sites, in units of the cell vectors:
Br: 0.379 0.284 0.931  0.03
Br: 0.523 0.254 0.508  0.00
Br: 0.477 0.746 0.492  0.00
Br: 0.084 0.847 0.954  -0.05
Br: 0.916 0.153 0.046  -0.05
Br: 0.023 0.508 0.254  0.00
Br: 0.584 0.954 0.847  -0.05
Br: 0.416 0.046 0.153  -0.05
Br: 0.977 0.492 0.746  0.00
Br: 0.121 0.069 0.716  0.03
Br: 0.621 0.716 0.069  0.03
Br: 0.879 0.931 0.284  0.03
Au: 0.728 0.612 0.611  0.00
Au: 0.272 0.388 0.389  0.00
Au: 0.772 0.389 0.388  0.00
Au: 0.228 0.611 0.612  0.00
Mn: 0.750 0.930 0.070  2.93
Mn: 0.250 0.070 0.930  2.93

Computed properties:
* crystal system: monoclinic
* SG: C2/c
* E_form (uncorrected): -0.3269 eV/atom
* N(E_F): 3.6 states/eV/cell



No. 9
Density functional theory data (PBE) for MnAuBr5 after structural relaxation.

a b c (Å): 7.002 7.003 9.997
angles (deg): 100.17 101.87 108.61
Each line ends with the local moment (μB).
Sites, in units of the cell vectors:
Br: 0.277 0.204 0.544  -0.04
Br: 0.159 0.698 0.910  -0.06
Br: 0.188 0.662 0.425  -0.07
Br: 0.423 0.053 0.256  0.00
Br: 0.301 0.234 0.968  -0.04
Br: 0.812 0.338 0.575  -0.07
Br: 0.577 0.947 0.744  0.00
Br: 0.699 0.766 0.032  -0.04
Br: 0.723 0.796 0.456  -0.04
Br: 0.841 0.302 0.090  -0.06
Mn: 0.500 0.000 0.500  3.35
Mn: 0.500 0.000 0.000  3.65
Au: 0.143 0.346 0.752  -0.11
Au: 0.857 0.654 0.248  -0.11

Computed properties:
* crystal system: triclinic
* SG: P-1
* E_form (uncorrected): -0.3305 eV/atom
* N(E_F): 8.1 states/eV/cell



No. 10
Density functional theory data (PBE) for MnAuBr2 after structural relaxation.

a b c (Å): 3.850 3.850 9.032
angles (deg): 90.00 90.00 123.34
Each line ends with the local moment (μB).
Sites, in units of the cell vectors:
Br: 0.500 0.500 0.330  0.02
Br: 0.000 0.000 0.929  -0.12
Au: 0.500 0.500 0.720  -0.04
Mn: 0.000 0.000 0.521  3.94

Computed properties:
* crystal system: orthorhombic
* ΔE to the lowest computed polymorph: 119 meV per atom
* SG: Cmm2
* E_form (uncorrected): -0.1455 eV/atom
* N(E_F): 0.5 states/eV/cell



No. 11
Density functional theory data (PBE) for MnAuBr after structural relaxation.

a b c (Å): 4.655 4.655 4.655
angles (deg): 60.00 60.00 60.00
Each line ends with the local moment (μB).
Sites, in units of the cell vectors:
Mn: 0.750 0.750 0.750  4.31
Au: 0.000 0.000 0.000  0.14
Br: 0.500 0.500 0.500  0.09

Computed properties:
* crystal system: cubic
* ΔE to the lowest computed polymorph: 287 meV per atom
* SG: F-43m
* E_form (uncorrected): 0.1680 eV/atom
* N(E_F): 0.8 states/eV/cell



No. 12
Density functional theory data (PBE) for MnAuBr2 after structural relaxation.

a b c (Å): 4.025 6.531 5.908
angles (deg): 37.70 90.00 90.00
Each line ends with the local moment (μB).
Sites, in units of the cell vectors:
Au: 0.000 0.000 0.500  0.01
Br: 0.000 0.000 0.000  0.04
Br: 0.500 0.500 0.000  0.02
Mn: 0.500 0.500 0.500  4.24

Computed properties:
* crystal system: monoclinic
* ΔE to the lowest computed polymorph: 432 meV per atom
* SG: P2/m
* E_form (uncorrected): 0.1676 eV/atom
* N(E_F): 2.0 states/eV/cell



No. 13
Density functional theory data (PBE) for MnAuBr2 after structural relaxation.

a b c (Å): 6.294 6.294 6.294
angles (deg): 147.40 101.47 87.64
Each line ends with the local moment (μB).
Sites, in units of the cell vectors:
Br: 0.062 0.062 0.000  -0.11
Br: 0.675 0.175 0.500  0.00
Mn: 0.482 0.482 0.000  3.93
Au: 0.280 0.780 0.500  -0.06

Computed properties:
* crystal system: orthorhombic
* ΔE to the lowest computed polymorph: 112 meV per atom
* SG: Imm2
* E_form (uncorrected): -0.1516 eV/atom



No. 14
Density functional theory data (PBE) for MnAuBr2 after structural relaxation.

a b c (Å): 5.004 5.004 5.004
angles (deg): 60.00 60.00 60.00
Each line ends with the local moment (μB).
Sites, in units of the cell vectors:
Au: 0.500 0.500 0.500  -0.11
Mn: 0.000 0.000 0.000  4.27
Br: 0.250 0.250 0.250  0.02
Br: 0.750 0.750 0.750  0.02

Computed properties:
* crystal system: cubic
* ΔE to the lowest computed polymorph: 520 meV per atom
* SG: Fm-3m
* E_form (uncorrected): 0.2561 eV/atom
* N(E_F): 2.6 states/eV/cell



No. 15
Density functional theory data (PBE) for MnAuBr2 after structural relaxation.

a b c (Å): 3.453 3.453 10.351
angles (deg): 90.00 90.00 116.03
Each line ends with the local moment (μB).
Sites, in units of the cell vectors:
Mn: 0.500 0.500 0.250  4.31
Br: 0.000 0.000 0.422  0.13
Br: 0.000 0.000 0.078  0.13
Au: 0.500 0.500 0.750  0.00

Computed properties:
* crystal system: orthorhombic
* ΔE to the lowest computed polymorph: 301 meV per atom
* SG: Cmmm
* E_form (uncorrected): 0.0373 eV/atom
* N(E_F): 0.6 states/eV/cell



No. 16
Density functional theory data (PBE) for MnAuBr after structural relaxation.

a b c (Å): 6.933 6.873 3.254
angles (deg): 77.40 75.35 27.26
Each line ends with the local moment (μB).
Sites, in units of the cell vectors:
Au: 0.042 0.042 0.958  0.09
Br: 0.293 0.293 0.707  0.12
Mn: 0.665 0.665 0.335  4.19

Computed properties:
* crystal system: orthorhombic
* ΔE to the lowest computed polymorph: 127 meV per atom
* SG: Fmm2
* E_form (uncorrected): 0.0082 eV/atom
* N(E_F): 0.8 states/eV/cell



No. 17
Density functional theory data (PBE) for Mn3AuBr after structural relaxation.

a b c (Å): 5.072 5.072 5.072
angles (deg): 90.00 90.00 90.00
Each line ends with the local moment (μB).
Sites, in units of the cell vectors:
Mn: 0.000 0.500 0.000  4.25
Mn: 0.000 0.000 0.500  4.37
Mn: 0.500 0.000 0.000  4.06
Au: 0.000 0.000 0.000  0.06
Br: 0.500 0.500 0.500  0.11

Computed properties:
* crystal system: cubic
* SG: Pm-3m
* E_form (uncorrected): 0.6849 eV/atom
* N(E_F): 2.6 states/eV/cell



No. 18
Density functional theory data (PBE) for Mn2AuBr2 after structural relaxation.

a b c (Å): 8.161 8.161 3.135
angles (deg): 90.00 90.00 90.00
Each line ends with the local moment (μB).
Sites, in units of the cell vectors:
Br: 0.637 0.137 0.000  0.08
Br: 0.137 0.363 0.000  0.08
Br: 0.863 0.637 0.000  0.08
Br: 0.363 0.863 0.000  0.08
Mn: 0.828 0.328 0.500  4.03
Mn: 0.172 0.672 0.500  4.03
Mn: 0.328 0.172 0.500  4.04
Mn: 0.672 0.828 0.500  4.04
Au: 0.000 0.000 0.000  0.07
Au: 0.500 0.500 0.000  0.07

Computed properties:
* crystal system: tetragonal
* ΔE to the lowest computed polymorph: 0 meV per atom
* SG: P4/mbm
* E_form (uncorrected): 0.3569 eV/atom
* N(E_F): 5.4 states/eV/cell



No. 19
Density functional theory data (PBE) for MnAuBr2 after structural relaxation.

a b c (Å): 6.852 6.852 6.852
angles (deg): 146.78 146.78 47.69
Each line ends with the local moment (μB).
Sites, in units of the cell vectors:
Mn: 0.500 0.500 0.000  4.25
Au: 0.750 0.250 0.500  0.02
Br: 0.250 0.750 0.500  0.02
Br: 0.000 0.000 0.000  0.05

Computed properties:
* crystal system: tetragonal
* ΔE to the lowest computed polymorph: 438 meV per atom
* SG: I-4m2
* E_form (uncorrected): 0.1741 eV/atom
* N(E_F): 1.9 states/eV/cell



No. 20
Density functional theory data (PBE) for MnAuBr after structural relaxation.

a b c (Å): 3.657 3.657 6.205
angles (deg): 90.00 90.00 120.00
Each line ends with the local moment (μB).
Sites, in units of the cell vectors:
Au: 0.000 0.000 0.931  0.18
Mn: 0.333 0.667 0.668  4.27
Br: 0.667 0.333 0.401  0.10

Computed properties:
* crystal system: trigonal
* ΔE to the lowest computed polymorph: 0 meV per atom
* SG: P3m1
* E_form (uncorrected): -0.1192 eV/atom
* N(E_F): 0.5 states/eV/cell